A plane-wave DFT calculation with PBE was carried out for a relaxed structure of LuZnNO.

Unit cell a=3.5163 b=5.8469 c=5.5811 alpha=90.00 beta=90.00 gamma=90.00
Space group Pmc2_1 (No. 26)
Asymmetric unit:
Lu1 0.0000 0.1816 0.0000 [2 per cell]
Zn1 0.5000 0.3540 0.5081 [2 per cell]
N1 0.5000 0.3398 0.8586 [2 per cell]
O1 0.0000 0.1648 0.3840 [2 per cell]

Summary:
Distance to the lowest polymorph of the same formula   74 meV per atom

***

A plane-wave DFT calculation with PBE was carried out for a relaxed structure of LuZnNO.

Unit cell a=3.6185 b=3.6185 c=7.5990 alpha=90.00 beta=90.00 gamma=90.00
Space group P4/nmm (No. 129, origin choice 2)
Asymmetric unit:
Lu1 0.2500 0.2500 0.1480 [2 per cell]
Zn1 0.2500 0.7500 0.5000 [2 per cell]
N1 0.2500 0.2500 0.6525 [2 per cell]
O1 0.2500 0.7500 0.0000 [2 per cell]

Summary:
Distance to the lowest polymorph of the same formula   164 meV per atom

***

A plane-wave DFT calculation with PBE was carried out for a relaxed structure of Lu2PN.

Unit cell a=3.5808 b=3.5808 c=12.2812 alpha=90.00 beta=90.00 gamma=120.00
Space group P6_3/mmc (No. 194)
Asymmetric unit:
Lu1 0.3333 0.6667 0.1062 [4 per cell]
P1 0.3333 0.6667 0.7500 [2 per cell]
N1 0.0000 0.0000 0.0000 [2 per cell]

***

A plane-wave DFT calculation with PBE was carried out for a relaxed structure of Lu3P2N.

Unit cell a=3.6911 b=3.6911 c=9.2877 alpha=90.00 beta=90.00 gamma=120.00
Space group P-3m1 (No. 164)
Asymmetric unit:
Lu1 0.0000 0.0000 0.0000 [1 per cell]
Lu2 0.3333 0.6667 0.6403 [2 per cell]
P1 0.3333 0.6667 0.1786 [2 per cell]
N1 0.0000 0.0000 0.5000 [1 per cell]

***

Results for calculated density: 7826; 9025; 9617; 9105 (in kg/m³, following the order of the records).
Results for raw total energy: -6.378; -6.288; -7.209; -6.981 (in eV/atom, following the order of the records).